Below is a PBEsol-optimized structure of Mo2RhBr, with properties calculated at the meta-GGA SCAN level.

Lattice parameters (Å, degrees): 2.929 3.020 6.775 90.00 90.00 90.00
Atoms (fractional coordinates):
Br  0.500  0.500  0.500
Rh  0.500  0.500  0.000
Mo  0.000  0.000  0.251
Mo  0.000  0.000  0.749

Results
Polymorph energy (0 for the lowest one) ... 0.0 kJ/mol of atoms
DOS(E_F) ... 4.5 states/eV per cell
Formation energy (no corrections) ... 0.608 eV per atom